! KTe2Rh, relaxed, DFT PBE; values from VASP
&SYSTEM
  ibrav = 0, nat = 4, ntyp = 3
/
ATOMIC_SPECIES
K 39.10 K.upf
Te 127.60 Te.upf
Rh 102.91 Rh.upf
CELL_PARAMETERS angstrom
3.459 0.000 0.000
0.000 3.459 0.000
0.000 0.000 8.635
ATOMIC_POSITIONS crystal
K 0.000 0.000 0.000
Te 0.500 0.500 0.311
Te 0.500 0.500 0.689
Rh 0.000 0.000 0.500
! Formation energy without anion corrections, eV/atom: -0.1763

! ZrCo2Ni, relaxed, DFT PBE; values from VASP
&SYSTEM
  ibrav = 0, nat = 4, ntyp = 3
/
ATOMIC_SPECIES
Zr 91.22 Zr.upf
Co 58.93 Co.upf
Ni 58.69 Ni.upf
CELL_PARAMETERS angstrom
-1.887 1.887 3.744
1.887 -1.887 3.744
1.887 1.887 -3.744
ATOMIC_POSITIONS crystal
Zr 0.000 0.000 0.000
Co 0.250 0.750 0.500
Co 0.500 0.500 0.000
Ni 0.750 0.250 0.500
! ΔE_f, eV/atom: -0.173

! AcCe3Tc, relaxed, DFT PBE; values from VASP
&SYSTEM
  ibrav = 0, nat = 5, ntyp = 3
/
ATOMIC_SPECIES
Ac 227.00 Ac.upf
Ce 140.12 Ce.upf
Tc 98.00 Tc.upf
CELL_PARAMETERS angstrom
5.430 0.000 0.000
0.000 5.430 0.000
0.000 0.000 5.430
ATOMIC_POSITIONS crystal
Ac 0.000 0.000 0.000
Ce 0.000 0.500 0.500
Ce 0.500 0.000 0.500
Ce 0.500 0.500 0.000
Tc 0.500 0.500 0.500
! ΔE_f, eV/atom: 0.084

! Ba2LaCu, relaxed, DFT PBE; values from VASP
&SYSTEM
  ibrav = 0, nat = 4, ntyp = 3
/
ATOMIC_SPECIES
Ba 137.33 Ba.upf
La 138.91 La.upf
Cu 63.55 Cu.upf
CELL_PARAMETERS angstrom
-2.501 2.501 5.949
2.501 -2.501 5.949
2.501 2.501 -5.949
ATOMIC_POSITIONS crystal
Ba 0.250 0.750 0.500
Ba 0.750 0.250 0.500
La 0.000 0.000 0.000
Cu 0.500 0.500 0.000
! ΔE_f, eV/atom: 0.391

! AsPb6S3Cl2, relaxed, DFT PBE; values from VASP
&SYSTEM
  ibrav = 0, nat = 12, ntyp = 4
/
ATOMIC_SPECIES
As 74.92 As.upf
Pb 207.20 Pb.upf
S 32.06 S.upf
Cl 35.45 Cl.upf
CELL_PARAMETERS angstrom
3.646 -6.459 0.000
3.646 6.459 0.000
-2.579 0.000 7.333
ATOMIC_POSITIONS crystal
As 0.000 0.000 0.000
Pb 0.088 0.396 0.265
Pb 0.230 0.230 0.742
Pb 0.396 0.088 0.265
Pb 0.604 0.912 0.735
Pb 0.770 0.770 0.258
Pb 0.912 0.604 0.735
S 0.157 0.843 0.500
S 0.500 0.500 0.500
S 0.843 0.157 0.500
Cl 0.326 0.674 0.000
Cl 0.674 0.326 0.000
! Formation energy without anion corrections, eV/atom: -0.5112

! Pm6Sm4Sc, relaxed, DFT PBE; values from VASP
&SYSTEM
  ibrav = 0, nat = 22, ntyp = 3
/
ATOMIC_SPECIES
Pm 145.00 Pm.upf
Sm 150.36 Sm.upf
Sc 44.96 Sc.upf
CELL_PARAMETERS angstrom
8.713 0.000 0.000
0.000 8.713 0.000
0.000 0.000 9.581
ATOMIC_POSITIONS crystal
Pm 0.000 0.000 0.170
Pm 0.000 0.000 0.830
Pm 0.148 0.342 0.500
Pm 0.158 0.352 0.000
Pm 0.342 0.852 0.500
Pm 0.352 0.842 0.000
Pm 0.500 0.500 0.330
Pm 0.500 0.500 0.670
Pm 0.648 0.158 0.000
Pm 0.658 0.148 0.500
Pm 0.842 0.648 0.000
Pm 0.852 0.658 0.500
Sm 0.147 0.647 0.250
Sm 0.147 0.647 0.750
Sm 0.353 0.147 0.250
Sm 0.353 0.147 0.750
Sm 0.647 0.853 0.250
Sm 0.647 0.853 0.750
Sm 0.853 0.353 0.250
Sm 0.853 0.353 0.750
Sc 0.000 0.000 0.500
Sc 0.500 0.500 0.000
! ΔE_f, eV/atom: 0.106

! Ac5Ge2Pb2, relaxed, DFT PBE; values from VASP
&SYSTEM
  ibrav = 0, nat = 18, ntyp = 3
/
ATOMIC_SPECIES
Ac 227.00 Ac.upf
Ge 72.64 Ge.upf
Pb 207.20 Pb.upf
CELL_PARAMETERS angstrom
8.445 -4.366 0.000
8.445 4.366 0.000
0.000 0.000 8.758
ATOMIC_POSITIONS crystal
Ac 0.000 0.000 0.000
Ac 0.041 0.699 0.669
Ac 0.199 0.541 0.169
Ac 0.301 0.959 0.669
Ac 0.459 0.801 0.169
Ac 0.500 0.500 0.500
Ac 0.541 0.199 0.831
Ac 0.699 0.041 0.331
Ac 0.801 0.459 0.831
Ac 0.959 0.301 0.331
Ge 0.128 0.872 0.369
Ge 0.372 0.628 0.869
Ge 0.628 0.372 0.131
Ge 0.872 0.128 0.631
Pb 0.208 0.208 0.000
Pb 0.292 0.292 0.500
Pb 0.708 0.708 0.500
Pb 0.792 0.792 0.000
! ΔE_f, eV/atom: -0.608

! Ag6Pb7, relaxed, DFT PBE; values from VASP
&SYSTEM
  ibrav = 0, nat = 13, ntyp = 2
/
ATOMIC_SPECIES
Ag 107.87 Ag.upf
Pb 207.20 Pb.upf
CELL_PARAMETERS angstrom
3.228 1.864 10.428
-3.228 1.864 10.428
0.000 -3.727 10.428
ATOMIC_POSITIONS crystal
Ag 0.084 0.084 0.084
Ag 0.174 0.174 0.174
Ag 0.333 0.333 0.333
Ag 0.667 0.667 0.667
Ag 0.826 0.826 0.826
Ag 0.916 0.916 0.916
Pb 0.076 0.578 0.578
Pb 0.422 0.422 0.924
Pb 0.422 0.924 0.422
Pb 0.500 0.500 0.500
Pb 0.578 0.076 0.578
Pb 0.578 0.578 0.076
Pb 0.924 0.422 0.422
! ΔE_f, eV/atom: 0.298

! SmY2AlN, relaxed, DFT PBE; values from VASP
&SYSTEM
  ibrav = 0, nat = 5, ntyp = 4
/
ATOMIC_SPECIES
Sm 150.36 Sm.upf
Y 88.91 Y.upf
Al 26.98 Al.upf
N 14.01 N.upf
CELL_PARAMETERS angstrom
4.791 0.000 0.000
0.000 4.791 0.000
0.000 0.000 4.915
ATOMIC_POSITIONS crystal
Sm 0.000 0.000 0.000
Y 0.000 0.500 0.500
Y 0.500 0.000 0.500
Al 0.500 0.500 0.000
N 0.000 0.000 0.500
! Formation energy without anion corrections, eV/atom: -0.8892

! CeSmRh, relaxed, DFT PBE; values from VASP
&SYSTEM
  ibrav = 0, nat = 6, ntyp = 3
/
ATOMIC_SPECIES
Ce 140.12 Ce.upf
Sm 150.36 Sm.upf
Rh 102.91 Rh.upf
CELL_PARAMETERS angstrom
5.876 0.000 0.000
0.000 4.490 0.000
-1.677 0.000 5.901
ATOMIC_POSITIONS crystal
Ce 0.020 0.250 0.164
Ce 0.980 0.750 0.836
Sm 0.428 0.250 0.718
Sm 0.572 0.750 0.282
Rh 0.150 0.750 0.436
Rh 0.850 0.250 0.564
! ΔE_f, eV/atom: -0.505

! BaCd12Au4, relaxed, DFT PBE; values from VASP
&SYSTEM
  ibrav = 0, nat = 17, ntyp = 3
/
ATOMIC_SPECIES
Ba 137.33 Ba.upf
Cd 112.41 Cd.upf
Au 196.97 Au.upf
CELL_PARAMETERS angstrom
-4.876 4.876 4.876
4.876 -4.876 4.876
4.876 4.876 -4.876
ATOMIC_POSITIONS crystal
Ba 0.000 0.000 0.000
Cd 0.156 0.507 0.351
Cd 0.156 0.805 0.649
Cd 0.195 0.351 0.844
Cd 0.351 0.156 0.507
Cd 0.351 0.844 0.195
Cd 0.493 0.649 0.844
Cd 0.507 0.351 0.156
Cd 0.649 0.156 0.805
Cd 0.649 0.844 0.493
Cd 0.805 0.649 0.156
Cd 0.844 0.195 0.351
Cd 0.844 0.493 0.649
Au 0.000 0.000 0.500
Au 0.000 0.500 0.000
Au 0.500 0.000 0.000
Au 0.500 0.500 0.500
! ΔE_f, eV/atom: -0.078

! Y3ErTm2Bi6, relaxed, DFT PBE; values from VASP
&SYSTEM
  ibrav = 0, nat = 12, ntyp = 4
/
ATOMIC_SPECIES
Y 88.91 Y.upf
Er 167.26 Er.upf
Tm 168.93 Tm.upf
Bi 208.98 Bi.upf
CELL_PARAMETERS angstrom
3.863 -6.692 0.000
3.863 6.692 0.000
-2.572 0.000 7.281
ATOMIC_POSITIONS crystal
Y 0.000 0.000 0.000
Y 0.334 0.666 0.000
Y 0.666 0.334 0.000
Er 0.500 0.500 0.500
Tm 0.167 0.833 0.500
Tm 0.833 0.167 0.500
Bi 0.084 0.418 0.254
Bi 0.248 0.248 0.746
Bi 0.418 0.084 0.254
Bi 0.582 0.916 0.746
Bi 0.752 0.752 0.254
Bi 0.916 0.582 0.746
! ΔE_f, eV/atom: -0.845

! ScPSCl2, relaxed, DFT PBE; values from VASP
&SYSTEM
  ibrav = 0, nat = 5, ntyp = 4
/
ATOMIC_SPECIES
Sc 44.96 Sc.upf
P 30.97 P.upf
S 32.06 S.upf
Cl 35.45 Cl.upf
CELL_PARAMETERS angstrom
4.728 0.000 0.000
0.000 4.728 0.000
0.000 0.000 5.657
ATOMIC_POSITIONS crystal
Sc 0.000 0.000 0.000
P 0.000 0.000 0.500
S 0.500 0.500 0.500
Cl 0.000 0.500 0.000
Cl 0.500 0.000 0.000
! Formation energy without anion corrections, eV/atom: -0.3768

! Sr3SnPb3, relaxed, DFT PBE; values from VASP
&SYSTEM
  ibrav = 0, nat = 14, ntyp = 3
/
ATOMIC_SPECIES
Sr 87.62 Sr.upf
Sn 118.71 Sn.upf
Pb 207.20 Pb.upf
CELL_PARAMETERS angstrom
6.219 -2.559 0.000
6.219 2.559 0.000
-4.574 0.000 15.586
ATOMIC_POSITIONS crystal
Sr 0.008 0.008 0.375
Sr 0.106 0.106 0.925
Sr 0.218 0.218 0.225
Sr 0.782 0.782 0.775
Sr 0.894 0.894 0.075
Sr 0.992 0.992 0.625
Sn 0.281 0.281 0.628
Sn 0.719 0.719 0.372
Pb 0.362 0.362 0.462
Pb 0.389 0.389 0.925
Pb 0.494 0.494 0.223
Pb 0.506 0.506 0.777
Pb 0.611 0.611 0.075
Pb 0.638 0.638 0.538
! ΔE_f, eV/atom: -0.491

! ScHgSbF2, relaxed, DFT PBE; values from VASP
&SYSTEM
  ibrav = 0, nat = 5, ntyp = 4
/
ATOMIC_SPECIES
Sc 44.96 Sc.upf
Hg 200.59 Hg.upf
Sb 121.76 Sb.upf
F 19.00 F.upf
CELL_PARAMETERS angstrom
4.139 0.000 0.000
0.000 4.139 0.000
0.000 0.000 6.124
ATOMIC_POSITIONS crystal
Sc 0.000 0.000 0.000
Hg 0.500 0.500 0.500
Sb 0.000 0.000 0.500
F 0.000 0.500 0.000
F 0.500 0.000 0.000
! Formation energy without anion corrections, eV/atom: -2.1246

! Co2SnHOs, relaxed, DFT PBE; values from VASP
&SYSTEM
  ibrav = 0, nat = 5, ntyp = 4
/
ATOMIC_SPECIES
Co 58.93 Co.upf
Sn 118.71 Sn.upf
H 1.01 H.upf
Os 190.23 Os.upf
CELL_PARAMETERS angstrom
3.842 0.000 0.000
0.000 3.842 0.000
0.000 0.000 3.867
ATOMIC_POSITIONS crystal
Co 0.000 0.500 0.000
Co 0.500 0.000 0.000
Sn 0.000 0.000 0.500
H 0.500 0.500 0.000
Os 0.500 0.500 0.500
! DFT total energy, eV per atom: -6.36

! SrSnH8Rh2, relaxed, DFT PBE; values from VASP
&SYSTEM
  ibrav = 0, nat = 12, ntyp = 4
/
ATOMIC_SPECIES
Sr 87.62 Sr.upf
Sn 118.71 Sn.upf
H 1.01 H.upf
Rh 102.91 Rh.upf
CELL_PARAMETERS angstrom
2.372 1.370 5.946
-2.372 1.370 5.946
0.000 -2.739 5.946
ATOMIC_POSITIONS crystal
Sr 0.000 0.000 0.000
Sn 0.500 0.500 0.500
H 0.093 0.558 0.558
H 0.313 0.313 0.313
H 0.442 0.442 0.907
H 0.442 0.907 0.442
H 0.558 0.093 0.558
H 0.558 0.558 0.093
H 0.687 0.687 0.687
H 0.907 0.442 0.442
Rh 0.221 0.221 0.221
Rh 0.779 0.779 0.779
! DFT total energy, eV per atom: -4.02

! CsSbSe2N, relaxed, DFT PBE; values from VASP
&SYSTEM
  ibrav = 0, nat = 5, ntyp = 4
/
ATOMIC_SPECIES
Cs 132.91 Cs.upf
Sb 121.76 Sb.upf
Se 78.96 Se.upf
N 14.01 N.upf
CELL_PARAMETERS angstrom
5.608 0.000 0.000
0.000 5.608 0.000
0.000 0.000 4.367
ATOMIC_POSITIONS crystal
Cs 0.000 0.000 0.000
Sb 0.500 0.500 0.500
Se 0.000 0.500 0.500
Se 0.500 0.000 0.500
N 0.500 0.500 0.000
! Formation energy without anion corrections, eV/atom: 0.2914

! La2FeSiC, relaxed, DFT PBE; values from VASP
&SYSTEM
  ibrav = 0, nat = 10, ntyp = 4
/
ATOMIC_SPECIES
La 138.91 La.upf
Fe 55.84 Fe.upf
Si 28.09 Si.upf
C 12.01 C.upf
CELL_PARAMETERS angstrom
6.356 0.000 0.000
0.000 4.077 0.000
-2.985 0.000 8.243
ATOMIC_POSITIONS crystal
La 0.213 0.250 0.394
La 0.232 0.250 0.966
La 0.768 0.750 0.034
La 0.787 0.750 0.606
Fe 0.493 0.750 0.252
Fe 0.507 0.250 0.748
Si 0.331 0.750 0.701
Si 0.669 0.250 0.299
C 0.204 0.750 0.179
C 0.796 0.250 0.821
! Formation energy without anion corrections, eV/atom: -0.3453

! CsCdIn2Ru, relaxed, DFT PBE; values from VASP
&SYSTEM
  ibrav = 0, nat = 5, ntyp = 4
/
ATOMIC_SPECIES
Cs 132.91 Cs.upf
Cd 112.41 Cd.upf
In 114.82 In.upf
Ru 101.07 Ru.upf
CELL_PARAMETERS angstrom
5.272 0.000 0.000
0.000 5.272 0.000
0.000 0.000 5.481
ATOMIC_POSITIONS crystal
Cs 0.000 0.000 0.000
Cd 0.500 0.500 0.000
In 0.000 0.500 0.500
In 0.500 0.000 0.500
Ru 0.500 0.500 0.500
! ΔE_f, eV/atom: -0.027

Record order is preserved below.
Total magnetization: 0.00; 2.15; 1.57; 0.00; 0.00; 0.00; 0.00; 0.00; 0.00; 2.07; 0.00; 0.00; 0.08; 0.00; 0.00; 0.00; 0.00; 1.81; 0.00; 0.00 μB/cell
Record order is preserved below.
Volume: 25.83; 13.33; 32.02; 37.22; 28.78; 33.06; 35.88; 28.96; 22.56; 25.95; 27.28; 31.37; 25.29; 35.44; 20.98; 11.42; 9.66; 27.46; 21.36; 30.46 Å³ per atom
Record order is preserved below.
DOS at the Fermi energy: 4.742; 4.065; 15.074; 6.645; 2.445; 32.885; 15.325; 3.069; 2.348; 10.703; 8.844; 2.181; 3.863; 5.707; 2.482; 5.776; 1.181; 4.211; 8.974; 2.544 states/eV per cell